V2SnO6 after structural relaxation, computed with PBE+U.

a b c (Å): 3.670 5.221 6.491
angles (deg): 67.25 73.58 69.42
Each line ends with the local moment (μB).
Positions (direct):
O1 0.727 0.646 0.900  -0.02
O2 0.273 0.354 0.100  -0.02
O3 0.023 0.154 0.800  -0.03
O4 0.977 0.846 0.200  -0.03
O5 0.357 0.686 0.600  -0.03
O6 0.643 0.314 0.400  -0.03
V1 0.181 0.760 0.878  1.02
V2 0.819 0.240 0.122  1.02
Sn1 0.000 0.500 0.500  0.04

Computed properties:
* space-group type: C2/m, No. 12
* E: -7.20 eV/atom
* spin magnetization: 2.0 μB per formula unit
* distance to the lowest polymorph of the same formula: 0.0 meV per atom